# Sm6P3Se2I

An optimized crystal structure of Sm6P3Se2I (PBE-GGA, the Alexandria database).

The structure in extended XYZ format:
```
12
Lattice="9.233 -2.068 0.000 9.233 2.068 0.000 -2.273 0.000 8.217" Properties=species:S:1:pos:R:3 pbc="T T T"
Sm -0.405 0.000 1.776
Sm 4.943 0.000 3.495
Sm 4.182 0.000 7.428
Sm 12.011 0.000 0.789
Sm 11.250 0.000 4.722
Sm 16.599 0.000 6.441
P 2.270 0.000 2.731
P 9.233 0.000 0.000
P 13.924 0.000 5.486
Se 1.177 0.000 6.825
Se 15.017 0.000 1.392
I 8.097 0.000 4.108
```

Values from the calculation:
space group = C2/m, No. 12
ΔE_f (raw) = -1.622 eV/atom